VASP calculation (GGA-PBEsol) on a geometry-optimized CuRePt structure.

Unit cell a=5.821 b=5.821 c=5.821 alpha=90.00 beta=90.00 gamma=90.00
Element x y z (fractional)
1 Cu 0.000 0.000 0.000
2 Cu 0.000 0.500 0.500
3 Cu 0.500 0.000 0.500
4 Cu 0.500 0.500 0.000
5 Re 0.250 0.250 0.750
6 Re 0.250 0.750 0.250
7 Re 0.750 0.250 0.250
8 Re 0.750 0.750 0.750
9 Pt 0.000 0.000 0.500
10 Pt 0.000 0.500 0.000
11 Pt 0.500 0.000 0.000
12 Pt 0.500 0.500 0.500

Properties
energy of formation: 0.7190 eV per atom
symmetry: F-43m
ρ: 15.0 g/cm3

VASP calculation (GGA-PBEsol) on a geometry-optimized CuRePt2 structure.

Unit cell a=2.730 b=2.730 c=7.482 alpha=90.00 beta=90.00 gamma=90.00
Element x y z (fractional)
1 Cu 0.000 0.000 0.000
2 Re 0.000 0.000 0.500
3 Pt 0.500 0.500 0.245
4 Pt 0.500 0.500 0.755

Properties
energy of formation: -0.1631 eV per atom
symmetry: P4/mmm
ρ: 19.1 g/cm3